[1]
Entry from the Alexandria database: an optimized crystal structure of BaAc6In5 (GGA-PBE).

```
BaAc6In5
1.0
8.837 -4.639 0.000
8.837 4.639 0.000
-1.780 0.000 5.331
Ba Ac In
1 6 5
direct
0.000 0.000 0.000
0.095 0.556 0.825
0.282 0.718 0.500
0.444 0.905 0.175
0.556 0.095 0.825
0.718 0.282 0.500
0.905 0.444 0.175
0.151 0.151 0.651
0.324 0.324 0.325
0.500 0.500 0.000
0.676 0.676 0.675
0.849 0.849 0.349
```

Output
* DFT formation energy: -3.64 eV/f.u.
* calculated volume: 437.1 Å³ per cell
* total DFT energy (no corrections): -3.66 eV/atom

=====

[2]
Entry from the Alexandria database: an optimized crystal structure of Ba2AcIn (GGA-PBE).

```
Ba2AcIn
1.0
4.184 0.000 0.000
-2.092 3.623 0.000
0.000 0.000 37.377
Ba Ac In
6 3 3
direct
0.000 0.000 0.000
0.000 0.000 0.188
0.333 0.667 0.667
0.333 0.667 0.855
0.667 0.333 0.333
0.667 0.333 0.522
0.000 0.000 0.761
0.333 0.667 0.428
0.667 0.333 0.095
0.000 0.000 0.594
0.333 0.667 0.261
0.667 0.333 0.928
```

Output
* DFT formation energy: -0.13 eV/f.u.
* calculated volume: 566.5 Å³ per cell
* total DFT energy (no corrections): -2.70 eV/atom

=====

[3]
Entry from the Alexandria database: an optimized crystal structure of Ba2AcIn (GGA-PBE).

```
Ba2AcIn
1.0
4.145 0.000 0.000
0.000 4.145 0.000
0.000 0.000 10.610
Ba Ac In
2 1 1
direct
0.000 0.000 0.203
0.000 0.000 0.797
0.500 0.500 0.500
0.500 0.500 0.000
```

Output
* DFT formation energy: -0.46 eV/f.u.
* calculated volume: 182.3 Å³ per cell
* total DFT energy (no corrections): -2.79 eV/atom

=====

[4]
Entry from the Alexandria database: an optimized crystal structure of KBaAcIn (GGA-PBE).

```
KBaAcIn
1.0
8.723 0.000 0.000
0.000 8.723 0.000
0.000 0.000 8.723
K Ba Ac In
4 4 4 4
direct
0.000 0.000 0.000
0.000 0.500 0.500
0.500 0.000 0.500
0.500 0.500 0.000
0.250 0.250 0.250
0.250 0.750 0.750
0.750 0.250 0.750
0.750 0.750 0.250
0.250 0.250 0.750
0.250 0.750 0.250
0.750 0.250 0.250
0.750 0.750 0.750
0.000 0.000 0.500
0.000 0.500 0.000
0.500 0.000 0.000
0.500 0.500 0.500
```

Output
* DFT formation energy: 0.10 eV/f.u.
* calculated volume: 663.8 Å³ per cell
* total DFT energy (no corrections): -2.44 eV/atom

=====

[5]
Entry from the Alexandria database: an optimized crystal structure of Ba2Li2AcIn2 (GGA-PBE).

```
Ba2Li2AcIn2
1.0
2.588 1.494 11.440
-2.588 1.494 11.440
0.000 -2.988 11.440
Ba Li Ac In
2 2 1 2
direct
0.115 0.115 0.115
0.885 0.885 0.885
0.383 0.383 0.383
0.617 0.617 0.617
0.000 0.000 0.000
0.279 0.279 0.279
0.721 0.721 0.721
```

Output
* DFT formation energy: -1.77 eV/f.u.
* calculated volume: 265.3 Å³ per cell
* total DFT energy (no corrections): -2.72 eV/atom

=====

[6]
Entry from the Alexandria database: an optimized crystal structure of BaLi2Ac2In2 (GGA-PBE).

```
BaLi2Ac2In2
1.0
2.607 1.505 10.204
-2.607 1.505 10.204
0.000 -3.010 10.204
Ba Li Ac In
1 2 2 2
direct
0.000 0.000 0.000
0.406 0.406 0.406
0.594 0.594 0.594
0.129 0.129 0.129
0.871 0.871 0.871
0.255 0.255 0.255
0.745 0.745 0.745
```

Output
* DFT formation energy: -1.62 eV/f.u.
* calculated volume: 240.2 Å³ per cell
* total DFT energy (no corrections): -3.01 eV/atom

=====

[7]
Entry from the Alexandria database: an optimized crystal structure of BaAcMgIn (GGA-PBE).

```
BaAcMgIn
1.0
4.193 0.000 0.000
0.000 4.193 0.000
0.000 0.000 8.527
Ba Ac Mg In
1 1 1 1
direct
0.000 0.000 0.000
0.000 0.000 0.485
0.500 0.500 0.719
0.500 0.500 0.266
```

Output
* DFT formation energy: -0.96 eV/f.u.
* calculated volume: 149.9 Å³ per cell
* total DFT energy (no corrections): -2.83 eV/atom

=====

[8]
Entry from the Alexandria database: an optimized crystal structure of BaAcMg2In2 (GGA-PBE).

```
BaAcMg2In2
1.0
5.231 0.000 0.000
-2.616 4.530 0.000
0.000 0.000 8.508
Ba Ac Mg In
1 1 2 2
direct
0.000 0.000 0.000
0.000 0.000 0.500
0.333 0.667 0.707
0.667 0.333 0.293
0.333 0.667 0.290
0.667 0.333 0.710
```

Output
* DFT formation energy: -2.02 eV/f.u.
* calculated volume: 201.6 Å³ per cell
* total DFT energy (no corrections): -2.79 eV/atom